[1]
! PBE-GGA Li4YFe, optimized geometry; values from VASP
&SYSTEM
  ibrav = 0, nat = 6, ntyp = 3
/
ATOMIC_SPECIES
Fe 55.84 Fe.upf
Li 6.94 Li.upf
Y 88.91 Y.upf
ATOMIC_POSITIONS angstrom
Fe 0.0000 0.0000 0.0000
Li 0.9788 -4.6428 1.1110
Li 0.5220 -6.6530 2.9086
Li 2.9664 -6.4263 1.7025
Li 0.7938 -7.2321 0.2493
Y 1.9729 -9.3578 2.2393
CELL_PARAMETERS angstrom
3.8852 -3.4863 1.1562
-0.8929 -3.9295 3.5139
-0.3617 -5.0614 -1.6844
! Symmetry: F-43m
! DFT formation energy (eV/atom): 0.3227


[2]
! PBE-GGA GeC2F2, optimized geometry; values from VASP
&SYSTEM
  ibrav = 0, nat = 5, ntyp = 3
/
ATOMIC_SPECIES
F 19.00 F.upf
C 12.01 C.upf
Ge 72.64 Ge.upf
ATOMIC_POSITIONS angstrom
F 1.2659 1.2659 1.4584
F 2.5318 2.5318 7.9758
C 1.2659 2.5318 4.7171
C 2.5318 1.2659 4.7171
Ge 0.0000 0.0000 0.0000
CELL_PARAMETERS angstrom
2.5318 0.0000 0.0000
0.0000 2.5318 0.0000
1.2659 1.2659 9.4342
! Symmetry: I4/mmm
! Formation energy from raw total energies (kJ/mol of formula units): 243


[3]
! PBE-GGA BaY, optimized geometry; values from VASP
&SYSTEM
  ibrav = 0, nat = 2, ntyp = 2
/
ATOMIC_SPECIES
Y 88.91 Y.upf
Ba 137.33 Ba.upf
ATOMIC_POSITIONS angstrom
Y 0.7817 0.2168 3.8805
Ba 0.0000 0.0000 0.0000
CELL_PARAMETERS angstrom
-2.1491 -2.0493 2.4691
3.1895 -1.6897 1.3737
0.5230 4.1726 3.9182
! Symmetry: P4/mmm
! DFT formation energy (eV/atom): 0.3187


[4]
! PBE-GGA SrCrRe2, optimized geometry; values from VASP
&SYSTEM
  ibrav = 0, nat = 8, ntyp = 3
/
ATOMIC_SPECIES
Sr 87.62 Sr.upf
Re 186.21 Re.upf
Cr 52.00 Cr.upf
ATOMIC_POSITIONS angstrom
Sr 0.0000 0.0000 0.0000
Sr 4.9461 2.4730 4.0618
Re 3.7096 4.9457 6.0927
Re 2.4734 1.2365 2.0309
Re 2.4727 3.7096 2.0309
Re 6.1826 4.9465 6.0927
Cr 2.4730 4.9461 4.0618
Cr 2.4730 2.4730 0.0000
CELL_PARAMETERS angstrom
4.9461 0.0000 0.0000
0.0000 4.9461 0.0000
2.4730 2.4730 8.1236
! Symmetry: I4_1/amd
! DFT formation energy (eV/atom): 1.1968


[5]
! PBE-GGA PrCdHg2, optimized geometry; values from VASP
&SYSTEM
  ibrav = 0, nat = 4, ntyp = 3
/
ATOMIC_SPECIES
Hg 200.59 Hg.upf
Pr 140.91 Pr.upf
Cd 112.41 Cd.upf
ATOMIC_POSITIONS angstrom
Hg 2.6101 1.5070 1.0656
Hg 7.8304 4.5209 3.1967
Pr 0.0000 0.0000 0.0000
Cd 5.2203 3.0139 2.1312
CELL_PARAMETERS angstrom
5.2203 0.0000 0.0000
2.6101 4.5209 0.0000
2.6101 1.5070 4.2623
! Symmetry: Fm-3m
! DFT formation energy (eV/atom): -0.4129


[6]
! PBE-GGA GdPb3, optimized geometry; values from VASP
&SYSTEM
  ibrav = 0, nat = 4, ntyp = 2
/
ATOMIC_SPECIES
Pb 207.20 Pb.upf
Gd 157.25 Gd.upf
ATOMIC_POSITIONS angstrom
Pb 1.8034 2.8225 0.0000
Pb 0.0000 1.9703 2.8561
Pb 1.8034 -0.9185 2.8425
Gd 0.0000 5.7551 0.0000
CELL_PARAMETERS angstrom
3.6067 0.0000 0.0000
0.0000 5.7776 0.0000
-1.8034 -2.8888 5.6985
! Symmetry: Imm2
! DFT formation energy (eV/atom): -0.2536